Entry from Alexandria: a geometry-optimized PaMn2Tl3Te6 structure (GGA-PBE).

Results
- Formation energy without anion corrections: -0.410 eV/atom
- Space group: C2/m, No. 12

a b c (Å): 7.3572 7.3572 8.5751
angles (deg): 98.26 98.26 119.91
With the nearest neighbours (Å) after each atom.
Sites, in units of the cell vectors:
Te (0.2777, 0.2777, 0.7996)  2 Mn 2.93, 1 Pa 3.03
Te (0.0672, 0.4105, 0.2033)  2 Mn 2.93-2.94, 1 Pa 3.03
Te (0.5895, 0.9328, 0.7967)  2 Mn 2.93-2.94, 1 Pa 3.03
Te (0.7223, 0.7223, 0.2004)  2 Mn 2.93, 1 Pa 3.03
Te (0.4105, 0.0672, 0.2033)  2 Mn 2.93-2.94, 1 Pa 3.03
Te (0.9328, 0.5895, 0.7967)  2 Mn 2.93-2.94, 1 Pa 3.03
Pa (0.0000, 0.0000, 0.0000)  6 Te 3.03
Mn (0.6676, 0.3324, 0.0000)  6 Te 2.93-2.94
Mn (0.3324, 0.6676, 0.0000)  6 Te 2.93-2.94
Tl (0.8391, 0.1609, 0.5000)  6 Te 3.45-3.49
Tl (0.5000, 0.5000, 0.5000)  6 Te 3.42-3.49
Tl (0.1609, 0.8391, 0.5000)  6 Te 3.45-3.49


Entry from Alexandria: a geometry-optimized Sc2CdAg structure (GGA-PBE).

Results
- DFT formation energy: -0.08 eV/atom
- Space group: R-3m, No. 166

a b c (Å): 9.5906 9.5906 9.5906
angles (deg): 19.90 19.90 19.90
With the nearest neighbours (Å) after each atom.
Sites, in units of the cell vectors:
Cd (0.7500, 0.7500, 0.7500)  6 Sc 3.08, 6 Cd 3.31
Ag (0.2500, 0.2500, 0.2500)  6 Sc 2.98, 6 Ag 3.31
Sc (0.5023, 0.5023, 0.5023)  3 Ag 2.98, 3 Cd 3.08, 6 Sc 3.31
Sc (0.9977, 0.9977, 0.9977)  3 Ag 2.98, 3 Cd 3.08, 6 Sc 3.31


Entry from Alexandria: a geometry-optimized GdTiGa2 structure (GGA-PBE).

Results
- Relative energy among the computed polymorphs: 0.32 eV/f.u.
- DFT formation energy: -0.36 eV/atom
- Space group: Fm-3m, No. 225

a b c (Å): 4.8146 4.8146 4.8146
angles (deg): 60.00 60.00 60.00
With the nearest neighbours (Å) after each atom.
Sites, in units of the cell vectors:
Ti (0.5000, 0.5000, 0.5000)  8 Ga 2.95
Ga (0.2500, 0.2500, 0.2500)  4 Gd 2.95, 4 Ti 2.95
Ga (0.7500, 0.7500, 0.7500)  4 Gd 2.95, 4 Ti 2.95
Gd (0.0000, 0.0000, 0.0000)  8 Ga 2.95


Entry from Alexandria: a geometry-optimized CdTc2Se structure (GGA-PBE).

Results
- Relative energy among the computed polymorphs: 2.50 eV/f.u.
- Formation energy without anion corrections: 0.725 eV/atom
- Space group: C2/m, No. 12

a b c (Å): 5.3500 5.3500 2.9036
angles (deg): 76.46 76.46 115.06
With the nearest neighbours (Å) after each atom.
Sites, in units of the cell vectors:
Tc (0.0000, 0.0000, 0.0000)  2 Cd 2.73, 2 Se 2.73, 4 Tc 2.87-2.90
Tc (0.5000, 0.5000, 0.0000)  2 Se 2.73, 2 Cd 2.73, 4 Tc 2.87-2.90
Se (0.0000, 0.5000, 0.5000)  4 Tc 2.73, 2 Cd 2.87, 2 Se 2.90
Cd (0.5000, 0.0000, 0.5000)  4 Tc 2.73, 2 Se 2.87, 2 Cd 2.90


Entry from Alexandria: a geometry-optimized BiPt2Au2 structure (GGA-PBE).

Results
- Relative energy among the computed polymorphs: 0.31 eV/f.u.
- DFT formation energy: 0.08 eV/atom
- Space group: P4/mbm, No. 127

a b c (Å): 7.9110 7.9110 3.1093
angles (deg): 90.00 90.00 90.00
With the nearest neighbours (Å) after each atom.
Sites, in units of the cell vectors:
Au (0.1339, 0.3661, 0.0000)  6 Pt 2.76-2.82, 1 Au 3.00, 2 Bi 3.08
Au (0.3661, 0.8661, 0.0000)  6 Pt 2.76-2.82, 1 Au 3.00, 2 Bi 3.08
Au (0.6339, 0.1339, 0.0000)  6 Pt 2.76-2.82, 1 Au 3.00, 2 Bi 3.08
Au (0.8661, 0.6339, 0.0000)  6 Pt 2.76-2.82, 1 Au 3.00, 2 Bi 3.08
Pt (0.6624, 0.8376, 0.5000)  6 Au 2.76-2.82
Pt (0.1624, 0.6624, 0.5000)  6 Au 2.76-2.82
Pt (0.8376, 0.3376, 0.5000)  6 Au 2.76-2.82
Pt (0.3376, 0.1624, 0.5000)  6 Au 2.76-2.82
Bi (0.0000, 0.0000, 0.0000)  4 Au 3.08, 2 Bi 3.11, 8 Pt 3.35
Bi (0.5000, 0.5000, 0.0000)  4 Au 3.08, 2 Bi 3.11, 8 Pt 3.35


Entry from Alexandria: a geometry-optimized CdTc2AgF structure (GGA-PBE).

Results
- Formation energy without anion corrections: 0.666 eV/atom
- Space group: P4/mmm, No. 123

a b c (Å): 4.1150 4.9332 4.1150
angles (deg): 90.00 90.00 90.00
With the nearest neighbours (Å) after each atom.
Sites, in units of the cell vectors:
Tc (0.0000, 0.0000, 0.5000)  2 F 2.06
Tc (0.5000, 0.0000, 0.0000)  2 F 2.06
Cd (0.0000, 0.5000, 0.0000)  2 F 2.47
Ag (0.5000, 0.5000, 0.5000)  4 Cd 2.91, 8 Tc 3.21
F (0.0000, 0.0000, 0.0000)  4 Tc 2.06


| no. | V (Å³/atom) |
| --- | --- |
| 1 | 32.118 |
| 2 | 22.359 |
| 3 | 19.729 |
| 4 | 16.936 |
| 5 | 19.459 |
| 6 | 16.707 |